[1]
A plane-wave DFT calculation with PBE was carried out for crystalline TbHoCdCo at its relaxed geometry.

Computed properties:
- energy of formation (eV/atom) = -0.25
- density (kg/m3) = 9163

Cell lengths 3.429, 3.429, 7.634 Å; angles 90.00, 90.00, 90.00 degrees
Space group P4mm (No. 99)
Inequivalent atoms, fractional coordinates:
Tb (0.000, 0.000, 0.000)
Ho (0.000, 0.000, 0.575)
Cd (0.500, 0.500, 0.291)
Co (0.500, 0.500, 0.784)

***

[2]
A plane-wave DFT calculation with PBE was carried out for crystalline HoTmCdCo at its relaxed geometry.

Computed properties:
- energy of formation (eV/atom) = -0.28
- density (kg/m3) = 9628

Cell lengths 3.390, 3.390, 7.581 Å; angles 90.00, 90.00, 90.00 degrees
Space group P4mm (No. 99)
Inequivalent atoms, fractional coordinates:
Ho (0.000, 0.000, 0.000)
Tm (0.000, 0.000, 0.576)
Cd (0.500, 0.500, 0.291)
Co (0.500, 0.500, 0.785)

***

[3]
A plane-wave DFT calculation with PBE was carried out for crystalline HoTmCdCo at its relaxed geometry.

Computed properties:
- energy of formation (eV/atom) = -0.16
- density (kg/m3) = 9591

Cell lengths 7.046, 7.046, 7.046 Å; angles 90.00, 90.00, 90.00 degrees
Space group F-43m (No. 216)
Inequivalent atoms, fractional coordinates:
Ho (0.000, 0.000, 0.000)
Tm (0.000, 0.000, 0.500)
Cd (0.250, 0.250, 0.750)
Co (0.250, 0.250, 0.250)

***

[4]
A plane-wave DFT calculation with PBE was carried out for crystalline Ho5ZnCd2Co2 at its relaxed geometry.

Computed properties:
- energy of formation (eV/atom) = -0.24
- density (kg/m3) = 8913

Cell lengths 11.386, 11.386, 3.543 Å; angles 90.00, 90.00, 90.00 degrees
Space group P4/mbm (No. 127)
Inequivalent atoms, fractional coordinates:
Ho (0.000, 0.500, 0.000)
Ho (0.075, 0.207, 0.000)
Zn (0.000, 0.000, 0.500)
Cd (0.175, 0.675, 0.500)
Co (0.128, 0.372, 0.500)

***

[5]
A plane-wave DFT calculation with PBE was carried out for crystalline Cd2CoI at its relaxed geometry.

Computed properties:
- energy (Ry per atom) = -0.15951
- density (kg/m3) = 5722

Cell lengths 5.144, 5.144, 18.012 Å; angles 90.00, 90.00, 90.00 degrees
Space group I-42d (No. 122)
Inequivalent atoms, fractional coordinates:
Cd (0.115, 0.250, 0.125)
Co (0.000, 0.000, 0.000)
I (0.000, 0.000, 0.500)

***

[6]
A plane-wave DFT calculation with PBE was carried out for crystalline CdCo3I at its relaxed geometry.

Computed properties:
- energy (Ry per atom) = -0.25881
- density (kg/m3) = 7049

Cell lengths 4.611, 4.611, 4.611 Å; angles 90.00, 90.00, 90.00 degrees
Space group Pm-3m (No. 221)
Inequivalent atoms, fractional coordinates:
Cd (0.000, 0.000, 0.000)
Co (0.000, 0.500, 0.500)
I (0.500, 0.500, 0.500)

***

[7]
A plane-wave DFT calculation with PBE was carried out for crystalline Cd2CoI6 at its relaxed geometry.

Computed properties:
- energy (Ry per atom) = -0.17775
- density (kg/m3) = 4048

Cell lengths 16.305, 15.801, 7.493 Å; angles 90.00, 117.32, 90.00 degrees
Space group C2/c (No. 15)
Inequivalent atoms, fractional coordinates:
Cd (0.247, 0.080, 0.435)
Co (0.000, 0.254, 0.250)
I (0.093, 0.164, 0.121)
I (0.094, 0.345, 0.564)
I (0.243, 0.091, 0.807)

***

[8]
A plane-wave DFT calculation with PBE was carried out for crystalline Cd2CoI at its relaxed geometry.

Computed properties:
- energy (Ry per atom) = -0.12762
- density (kg/m3) = 7523

Cell lengths 7.131, 7.131, 7.131 Å; angles 90.00, 90.00, 90.00 degrees
Space group Fm-3m (No. 225)
Inequivalent atoms, fractional coordinates:
Cd (0.250, 0.250, 0.250)
Co (0.000, 0.000, 0.000)
I (0.000, 0.000, 0.500)